# NaAlReNi2

An optimized crystal structure of NaAlReNi2 (PBE, Alexandria via LeMat-Bulk).

The structure in POSCAR format:
```
NaAlReNi2
1.0
-0.0631 4.2817 0.3643
-2.8033 -0.3485 3.6100
3.3997 -0.1731 2.6233
Re Ni Al Na
1 2 1 1
direct
0.5000 0.5000 0.5000 Re
0.0000 0.0000 0.5000 Ni
0.5000 0.0000 0.0000 Ni
0.0000 0.0000 0.0000 Al
0.0000 0.5000 0.0000 Na
```

Results
Spin magnetization (Bohr magnetons per cell): 3.13
Energy of formation (eV per atom): 1.457
SG: P4/mmm (123)